No. 1
Compound: SrTb5Te6
Source: Alexandria via LeMat-Bulk
Functional: PBE
Structure: relaxed

a = 7.6997 Å, b = 7.6324 Å, c = 7.6399 Å
α = 60.03°, β = 80.48°, γ = 70.66°
With the nearest neighbours (Å) after each atom.
Atoms (fractional coordinates):
Te: 0.7411 0.4298 0.6563  5 Tb 3.11-3.13, 1 Sr 3.23
Te: 0.2589 0.9139 0.6563  5 Tb 3.11-3.13, 1 Sr 3.23
Te: 0.7522 0.7393 0.0000  5 Tb 3.08-3.10, 1 Sr 3.18
Te: 0.7411 0.0861 0.3437  5 Tb 3.11-3.13, 1 Sr 3.23
Te: 0.2589 0.5702 0.3437  5 Tb 3.11-3.13, 1 Sr 3.23
Te: 0.2478 0.2606 0.0000  5 Tb 3.08-3.10, 1 Sr 3.18
Tb: 0.5000 0.5000 0.0000  6 Te 3.08-3.12
Tb: 0.0000 0.6674 0.6651  6 Te 3.10-3.13
Tb: 0.5000 0.1574 0.6852  6 Te 3.08-3.13
Tb: 0.5000 0.8426 0.3148  6 Te 3.08-3.13
Tb: 0.0000 0.3326 0.3349  6 Te 3.10-3.13
Sr: 0.0000 0.0000 0.0000  6 Te 3.18-3.23

Summary:
- Formation energy without anion corrections: -1362 meV/atom
- Symmetry: No. 12
- Volume: 30.58 Å³ per atom
- Theoretical density: 7.5 g/cm³

***

No. 2
Compound: SrTb3Te6
Source: Alexandria via LeMat-Bulk
Functional: PBE
Structure: relaxed

a = 4.4285 Å, b = 12.6807 Å, c = 13.0770 Å
α = 109.37°, β = 90.00°, γ = 90.00°
With the nearest neighbours (Å) after each atom.
Atoms (fractional coordinates):
Tb: 0.7500 0.6837 0.4977  7 Te 3.10-3.38
Tb: 0.2500 0.8451 0.9172  6 Te 3.04-3.10
Tb: 0.2500 0.3163 0.5023  7 Te 3.10-3.38
Tb: 0.7500 0.1549 0.0828  6 Te 3.04-3.10
Tb: 0.7500 0.4425 0.8358  6 Te 3.08-3.14
Tb: 0.2500 0.5575 0.1642  6 Te 3.08-3.14
Te: 0.2500 0.5148 0.3825  4 Tb 3.08-3.38
Te: 0.2500 0.2071 0.2514  3 Tb 3.04-3.11
Te: 0.7500 0.9148 0.0912  3 Tb 3.08-3.09, 2 Sr 3.45
Te: 0.7500 0.3870 0.0526  4 Tb 3.10-3.14
Te: 0.7500 0.4852 0.6175  4 Tb 3.08-3.38
Te: 0.2500 0.8724 0.5341  2 Tb 3.18, 3 Sr 3.37-3.49
Te: 0.2500 0.2705 0.7301  3 Tb 3.09-3.22
Te: 0.2500 0.6130 0.9474  4 Tb 3.10-3.14
Te: 0.7500 0.1276 0.4659  2 Tb 3.18, 3 Sr 3.37-3.49
Te: 0.7500 0.7929 0.7486  3 Tb 3.04-3.11
Te: 0.7500 0.7295 0.2699  3 Tb 3.09-3.22
Te: 0.2500 0.0852 0.9088  3 Tb 3.08-3.09, 2 Sr 3.45
Sr: 0.2500 0.9508 0.3021  8 Te 3.37-3.53
Sr: 0.7500 0.0492 0.6979  8 Te 3.37-3.53

Summary:
- Formation energy without anion corrections: -1344 meV/atom
- Symmetry: No. 11
- Volume: 34.64 Å³ per atom
- Theoretical density: 6.4 g/cm³

***

No. 3
Compound: SrTbTe2
Source: Alexandria via LeMat-Bulk
Functional: PBE
Structure: relaxed

a = 4.4152 Å, b = 4.4152 Å, c = 8.3208 Å
α = 74.61°, β = 74.61°, γ = 60.00°
With the nearest neighbours (Å) after each atom.
Atoms (fractional coordinates):
Te: 0.0766 0.0766 0.7703  3 Tb 3.09, 3 Sr 3.28
Te: 0.2574 0.2574 0.2277  3 Tb 3.16, 3 Sr 3.39
Tb: 0.6694 0.6694 0.9919  6 Te 3.09-3.16
Sr: 0.4967 0.4967 0.5100  6 Te 3.28-3.39

Summary:
- Formation energy without anion corrections: -1452 meV/atom
- Symmetry: No. 160
- Volume: 33.43 Å³ per atom
- Theoretical density: 6.2 g/cm³

***

No. 4
Compound: Sr3Tb3TmTe8
Source: Alexandria via LeMat-Bulk
Functional: PBE
Structure: relaxed

a = 8.8883 Å, b = 8.8894 Å, c = 9.2043 Å
α = 118.88°, β = 90.00°, γ = 120.00°
With the nearest neighbours (Å) after each atom.
Atoms (fractional coordinates):
Sr: 0.5000 0.5000 0.0000  6 Te 3.28-3.30
Sr: 0.0000 0.0000 0.0000  6 Te 3.28-3.30
Sr: 0.0000 0.5000 0.0000  6 Te 3.28-3.30
Te: 0.2567 0.0138 0.2708  1 Tm 3.10, 2 Tb 3.11, 2 Sr 3.30
Te: 0.2430 0.4860 0.7291  1 Tm 3.11, 2 Tb 3.11, 2 Sr 3.30
Te: 0.7570 0.5140 0.2709  1 Tm 3.11, 2 Tb 3.11, 2 Sr 3.30
Te: 0.2428 0.9862 0.7292  1 Tm 3.10, 2 Tb 3.11, 2 Sr 3.30
Te: 0.7441 0.4883 0.7323  3 Tb 3.12, 3 Sr 3.28
Te: 0.7572 0.0138 0.2708  1 Tm 3.10, 2 Tb 3.11, 2 Sr 3.30
Te: 0.2559 0.5117 0.2677  3 Tb 3.12, 3 Sr 3.28
Te: 0.7433 0.9862 0.7292  1 Tm 3.10, 2 Tb 3.11, 2 Sr 3.30
Tb: 0.5000 0.0000 0.5000  6 Te 3.11-3.12
Tb: 0.0000 0.5000 0.5000  6 Te 3.11-3.12
Tb: 0.5000 0.5000 0.5000  6 Te 3.11-3.12
Tm: 0.0000 0.0000 0.5000  6 Te 3.10-3.11

Summary:
- Formation energy without anion corrections: -1514 meV/atom
- Symmetry: No. 166
- Volume: 34.85 Å³ per atom
- Theoretical density: 6.1 g/cm³

***

No. 5
Compound: SrTb3Y2Te6
Source: Alexandria via LeMat-Bulk
Functional: PBE
Structure: relaxed

a = 4.4228 Å, b = 8.8740 Å, c = 9.8929 Å
α = 103.41°, β = 102.92°, γ = 90.00°
With the nearest neighbours (Å) after each atom.
Atoms (fractional coordinates):
Te: 0.9964 0.7388 0.9928  3 Tb 3.08-3.11, 1 Y 3.13, 2 Sr 3.19
Te: 0.0036 0.2612 0.0072  3 Tb 3.08-3.11, 1 Y 3.13, 2 Sr 3.19
Te: 0.3349 0.4197 0.6698  3 Tb 3.06-3.09, 3 Y 3.07
Te: 0.3277 0.9165 0.6553  3 Tb 3.09-3.20, 2 Y 3.20, 1 Sr 3.23
Te: 0.6723 0.0835 0.3447  3 Tb 3.09-3.20, 2 Y 3.20, 1 Sr 3.23
Te: 0.6651 0.5803 0.3302  3 Tb 3.06-3.09, 3 Y 3.07
Sr: 0.5000 0.0000 0.0000  6 Te 3.19-3.23
Tb: 0.8374 0.1820 0.6748  6 Te 3.06-3.20
Tb: 0.1626 0.8180 0.3252  6 Te 3.06-3.20
Tb: 0.5000 0.5000 0.0000  6 Te 3.08-3.09
Y: 0.8291 0.6563 0.6581  6 Te 3.07-3.20
Y: 0.1709 0.3437 0.3419  6 Te 3.07-3.20

Summary:
- Formation energy without anion corrections: -1365 meV/atom
- Symmetry: No. 12
- Volume: 30.63 Å³ per atom
- Theoretical density: 6.8 g/cm³

***

No. 6
Compound: Sr4Tb3YTe8
Source: Alexandria via LeMat-Bulk
Functional: PBE
Structure: relaxed

a = 8.9859 Å, b = 9.1639 Å, c = 8.9860 Å
α = 119.37°, β = 120.00°, γ = 90.00°
With the nearest neighbours (Å) after each atom.
Atoms (fractional coordinates):
Te: 0.2442 0.7321 0.4883  2 Tb 3.13, 1 Y 3.13, 3 Sr 3.29
Te: 0.7446 0.7316 0.9880  1 Y 3.12, 2 Tb 3.13, 3 Sr 3.29-3.30
Te: 0.7440 0.7320 0.4880  3 Tb 3.13, 3 Sr 3.29
Te: 0.7566 0.2684 0.0120  1 Y 3.12, 2 Tb 3.13, 3 Sr 3.29-3.30
Te: 0.2434 0.7316 0.9880  1 Y 3.12, 2 Tb 3.13, 3 Sr 3.29-3.30
Te: 0.2560 0.2680 0.5120  3 Tb 3.13, 3 Sr 3.29
Te: 0.2554 0.2684 0.0120  1 Y 3.12, 2 Tb 3.13, 3 Sr 3.29-3.30
Te: 0.7558 0.2679 0.5117  2 Tb 3.13, 1 Y 3.13, 3 Sr 3.29
Sr: 0.0000 0.0000 0.5000  6 Te 3.29
Sr: 0.5000 0.0000 0.0000  6 Te 3.29-3.30
Sr: 0.5000 0.0000 0.5000  6 Te 3.29
Sr: 0.0000 0.0000 0.0000  6 Te 3.29
Y: 0.0000 0.5000 0.0000  6 Te 3.12-3.13
Tb: 0.0000 0.5000 0.5000  6 Te 3.13
Tb: 0.5000 0.5000 0.5000  6 Te 3.13
Tb: 0.5000 0.5000 0.0000  6 Te 3.13

Summary:
- Formation energy without anion corrections: -1506 meV/atom
- Symmetry: No. 166
- Volume: 33.01 Å³ per atom
- Theoretical density: 6.1 g/cm³

***

No. 7
Compound: SrTb2Th
Source: Alexandria via LeMat-Bulk
Functional: PBE
Structure: relaxed

a = 3.6273 Å, b = 3.6273 Å, c = 12.8564 Å
α = 81.89°, β = 81.89°, γ = 60.00°
With the nearest neighbours (Å) after each atom.
Atoms (fractional coordinates):
Sr: 0.0000 0.0000 0.0000  2 Tb 3.57, 6 Sr 3.63
Th: 0.5000 0.5000 0.5000  6 Tb 3.48, 6 Th 3.63
Tb: 0.0938 0.0938 0.7186  3 Th 3.48, 1 Sr 3.57, 6 Tb 3.63
Tb: 0.9062 0.9062 0.2814  3 Th 3.48, 1 Sr 3.57, 6 Tb 3.63

Summary:
- ΔH_f (0 K): 0.1861 eV/atom
- Symmetry: No. 166
- Volume: 36.13 Å³ per atom
- Theoretical density: 7.3 g/cm³

***

No. 8
Compound: SrTb2Th
Source: Alexandria via LeMat-Bulk
Functional: PBE
Structure: relaxed

a = 3.6954 Å, b = 3.6954 Å, c = 10.6410 Å
α = 90.00°, β = 90.00°, γ = 90.00°
With the nearest neighbours (Å) after each atom.
Atoms (fractional coordinates):
Sr: 0.5000 0.5000 0.5000  4 Sr 3.70, 8 Tb 4.00
Tb: 0.0000 0.0000 0.7842  4 Th 3.48, 4 Tb 3.70
Tb: 0.0000 0.0000 0.2158  4 Th 3.48, 4 Tb 3.70
Th: 0.5000 0.5000 0.0000  8 Tb 3.48, 4 Th 3.70

Summary:
- ΔH_f (0 K): 0.0918 eV/atom
- Symmetry: No. 123
- Volume: 36.33 Å³ per atom
- Theoretical density: 7.3 g/cm³

***

No. 9
Compound: SrTbTh2
Source: Alexandria via LeMat-Bulk
Functional: PBE
Structure: relaxed

a = 3.5654 Å, b = 3.5654 Å, c = 13.2290 Å
α = 82.26°, β = 82.26°, γ = 60.00°
With the nearest neighbours (Å) after each atom.
Atoms (fractional coordinates):
Sr: 0.0000 0.0000 0.0000  6 Sr 3.57, 2 Th 3.60
Th: 0.0919 0.0919 0.7244  6 Th 3.57, 3 Tb 3.58, 1 Sr 3.60
Th: 0.9081 0.9081 0.2756  6 Th 3.57, 3 Tb 3.58, 1 Sr 3.60
Tb: 0.5000 0.5000 0.5000  6 Tb 3.57, 6 Th 3.58

Summary:
- ΔH_f (0 K): 0.3048 eV/atom
- Symmetry: No. 166
- Volume: 35.97 Å³ per atom
- Theoretical density: 8.2 g/cm³

***

No. 10
Compound: Sr3Tb12Tl5
Source: Alexandria via LeMat-Bulk
Functional: PBE
Structure: relaxed

a = 16.5140 Å, b = 16.5140 Å, c = 16.5140 Å
α = 109.47°, β = 109.47°, γ = 109.47°
With the nearest neighbours (Å) after each atom.
Atoms (fractional coordinates):
Tb: 0.6963 0.0833 0.0146  2 Tl 2.93-2.96
Tb: 0.4167 0.9854 0.8037  2 Tl 2.93-2.96
Tb: 0.9854 0.5686 0.1817  2 Tl 2.93-2.96
Tb: 0.3183 0.8037 0.3870  2 Tl 2.93-2.96
Tb: 0.5833 0.0146 0.1963  2 Tl 2.93-2.96
Tb: 0.4854 0.6817 0.0686  2 Tl 2.93-2.96
Tb: 0.8870 0.0686 0.5833  2 Tl 2.93-2.96
Tb: 0.0833 0.6963 0.5146  2 Tl 2.93-2.96
Tb: 0.9314 0.1130 0.9167  2 Tl 2.93-2.96
Tb: 0.0686 0.8870 0.0833  2 Tl 2.93-2.96
Tb: 0.5686 0.9854 0.6817  2 Tl 2.93-2.96
Tb: 0.8037 0.4854 0.4167  2 Tl 2.93-2.96
Tb: 0.4314 0.4167 0.6130  2 Tl 2.93-2.96
Tb: 0.8183 0.9314 0.0146  2 Tl 2.93-2.96
Tb: 0.6817 0.4854 0.5686  2 Tl 2.93-2.96
Tb: 0.0146 0.5833 0.6963  2 Tl 2.93-2.96
Tb: 0.0833 0.3870 0.0686  2 Tl 2.93-2.96
Tb: 0.9854 0.4167 0.3037  2 Tl 2.93-2.96
Tb: 0.1130 0.9314 0.4167  2 Tl 2.93-2.96
Tb: 0.3870 0.3037 0.3183  2 Tl 2.93-2.96
Tb: 0.3870 0.0833 0.5686  2 Tl 2.93-2.96
Tb: 0.6963 0.6130 0.1817  2 Tl 2.93-2.96
Tb: 0.8037 0.3183 0.8870  2 Tl 2.93-2.96
Tb: 0.9167 0.6130 0.9314  2 Tl 2.93-2.96
Tb: 0.4167 0.4314 0.1130  2 Tl 2.93-2.96
Tb: 0.1963 0.5146 0.5833  2 Tl 2.93-2.96
Tb: 0.9167 0.3037 0.4854  2 Tl 2.93-2.96
Tb: 0.1817 0.0686 0.9854  2 Tl 2.93-2.96
Tb: 0.5146 0.3183 0.9314  2 Tl 2.93-2.96
Tb: 0.0146 0.4314 0.8183  2 Tl 2.93-2.96
Tb: 0.9314 0.8183 0.5146  2 Tl 2.93-2.96
Tb: 0.3183 0.5146 0.4314  2 Tl 2.93-2.96
Tb: 0.8870 0.8183 0.8037  2 Tl 2.93-2.96
Tb: 0.4854 0.8037 0.9167  2 Tl 2.93-2.96
Tb: 0.6130 0.6963 0.6817  2 Tl 2.93-2.96
Tb: 0.4314 0.0146 0.3183  2 Tl 2.93-2.96
Tb: 0.1130 0.1817 0.1963  2 Tl 2.93-2.96
Tb: 0.3037 0.3870 0.8183  2 Tl 2.93-2.96
Tb: 0.8183 0.8870 0.3037  2 Tl 2.93-2.96
Tb: 0.1817 0.1130 0.6963  2 Tl 2.93-2.96
Tb: 0.5146 0.1963 0.0833  2 Tl 2.93-2.96
Tb: 0.0686 0.1817 0.4854  2 Tl 2.93-2.96
Tb: 0.6130 0.9167 0.4314  2 Tl 2.93-2.96
Tb: 0.3037 0.9167 0.9854  2 Tl 2.93-2.96
Tb: 0.5833 0.5686 0.8870  2 Tl 2.93-2.96
Tb: 0.5686 0.5833 0.3870  2 Tl 2.93-2.96
Tb: 0.1963 0.6817 0.1130  2 Tl 2.93-2.96
Tb: 0.6817 0.1963 0.6130  2 Tl 2.93-2.96
Tl: 0.8750 0.2500 0.6250  4 Tb 2.93
Tl: 0.1250 0.3750 0.2500  4 Tb 2.93
Tl: 0.6250 0.8750 0.2500  4 Tb 2.93
Tl: 0.0000 0.5000 0.5000  6 Tb 2.96
Tl: 0.2500 0.8750 0.1250  4 Tb 2.93
Tl: 0.0000 0.0000 0.0000  6 Tb 2.96
Tl: 0.3750 0.1250 0.7500  4 Tb 2.93
Tl: 0.8750 0.6250 0.7500  4 Tb 2.93
Tl: 0.5000 0.5000 0.0000  6 Tb 2.96
Tl: 0.2500 0.3750 0.6250  4 Tb 2.93
Tl: 0.0000 0.5000 0.0000  6 Tb 2.96
Tl: 0.3750 0.2500 0.1250  4 Tb 2.93
Tl: 0.5000 0.0000 0.0000  6 Tb 2.96
Tl: 0.0000 0.0000 0.5000  6 Tb 2.96
Tl: 0.7500 0.6250 0.3750  4 Tb 2.93
Tl: 0.7500 0.1250 0.8750  4 Tb 2.93
Tl: 0.5000 0.5000 0.5000  6 Tb 2.96
Tl: 0.6250 0.7500 0.8750  4 Tb 2.93
Tl: 0.1250 0.7500 0.3750  4 Tb 2.93
Tl: 0.5000 0.0000 0.5000  6 Tb 2.96
Sr: 0.2500 0.6250 0.8750  4 Tb 3.67
Sr: 0.3750 0.6250 0.2500  4 Tb 3.67
Sr: 0.6250 0.3750 0.7500  4 Tb 3.67
Sr: 0.6250 0.2500 0.3750  4 Tb 3.67
Sr: 0.1250 0.2500 0.8750  4 Tb 3.67
Sr: 0.2500 0.1250 0.3750  4 Tb 3.67
Sr: 0.8750 0.1250 0.2500  4 Tb 3.67
Sr: 0.7500 0.3750 0.1250  4 Tb 3.67
Sr: 0.8750 0.7500 0.1250  4 Tb 3.67
Sr: 0.7500 0.8750 0.6250  4 Tb 3.67
Sr: 0.1250 0.8750 0.7500  4 Tb 3.67
Sr: 0.3750 0.7500 0.6250  4 Tb 3.67

Summary:
- ΔH_f (0 K): 0.5674 eV/atom
- Symmetry: No. 230
- Volume: 43.34 Å³ per atom
- Theoretical density: 6.1 g/cm³

***

No. 11
Compound: SrTb2Tl3
Source: Alexandria via LeMat-Bulk
Functional: PBE
Structure: relaxed

a = 3.8752 Å, b = 3.8752 Å, c = 11.8659 Å
α = 90.00°, β = 90.00°, γ = 90.00°
With the nearest neighbours (Å) after each atom.
Atoms (fractional coordinates):
Tl: 0.0000 0.0000 0.0000  8 Tb 3.33, 2 Tl 3.72
Tl: 0.0000 0.0000 0.3133  4 Tb 3.29, 4 Sr 3.52
Tl: 0.0000 0.0000 0.6867  4 Tb 3.29, 4 Sr 3.52
Tb: 0.5000 0.5000 0.8405  8 Tl 3.29-3.33
Tb: 0.5000 0.5000 0.1595  8 Tl 3.29-3.33
Sr: 0.5000 0.5000 0.5000  8 Tl 3.52, 4 Sr 3.88

Summary:
- ΔH_f (0 K): -0.3716 eV/atom
- Symmetry: No. 123
- Volume: 29.70 Å³ per atom
- Theoretical density: 9.5 g/cm³

***

No. 12
Compound: SrTb4Tl5
Source: Alexandria via LeMat-Bulk
Functional: PBE
Structure: relaxed

a = 3.8429 Å, b = 3.8429 Å, c = 19.5250 Å
α = 90.00°, β = 90.00°, γ = 90.00°
With the nearest neighbours (Å) after each atom.
Atoms (fractional coordinates):
Tb: 0.0000 0.0000 0.2090  8 Tl 3.28-3.33
Tb: 0.0000 0.0000 0.4035  8 Tl 3.30-3.31
Tb: 0.0000 0.0000 0.7910  8 Tl 3.28-3.33
Tb: 0.0000 0.0000 0.5965  8 Tl 3.30-3.31
Tl: 0.5000 0.5000 0.5000  8 Tb 3.31
Tl: 0.5000 0.5000 0.6923  8 Tb 3.30-3.33
Tl: 0.5000 0.5000 0.1146  4 Tb 3.28, 4 Sr 3.52
Tl: 0.5000 0.5000 0.8854  4 Tb 3.28, 4 Sr 3.52
Tl: 0.5000 0.5000 0.3077  8 Tb 3.30-3.33
Sr: 0.0000 0.0000 0.0000  8 Tl 3.52, 4 Sr 3.84

Summary:
- ΔH_f (0 K): -0.3630 eV/atom
- Symmetry: No. 123
- Volume: 28.83 Å³ per atom
- Theoretical density: 10.1 g/cm³